# 1
Below is Mn2CoPt at its PBEsol-relaxed geometry, with properties calculated at the SCAN level.

The calculation puts the energy relative to the elements at -0.5739 eV per atom. The size of the total moment is 36.6 μB/cell.

The space group is Fm-3m (No. 225) and the conventional cell measures 5.918, 5.918 and 5.918 Å, with angles of 90.00, 90.00 and 90.00 degrees. The inequivalent atoms are Mn at (0.250, 0.250, 0.250), Co at (0.000, 0.000, 0.000) and Pt at (0.000, 0.000, 0.500).

***

# 2
Below is AgPtI2Cl at its PBEsol-relaxed geometry, with properties calculated at the SCAN level.

The size of the total moment is 1.6 μB/cell. The calculation puts the uncorrected formation energy at 0.89 eV/atom.

The space group is P4/mmm (No. 123) and the conventional cell measures 5.326, 5.326 and 5.130 Å, with angles of 90.00, 90.00 and 90.00 degrees. The inequivalent atoms are Ag at (0.000, 0.000, 0.000), Pt at (0.000, 0.000, 0.500), I at (0.000, 0.500, 0.000) and Cl at (0.500, 0.500, 0.500).

***

# 3
Below is LiTaPb2 at its PBEsol-relaxed geometry, with properties calculated at the SCAN level.

The calculation puts the energy relative to the elements at 0.2949 eV per atom. The size of the total moment is 1.7 μB/cell.

The space group is C2/m (No. 12) and the conventional cell measures 9.278, 3.115 and 6.182 Å, with angles of 90.00, 100.07 and 90.00 degrees. The inequivalent atoms are Li at (0.000, 0.000, 0.000), Ta at (0.000, 0.500, 0.500) and Pb at (0.250, 0.000, 0.746).

***

# 4
Below is La4B2CI5 at its PBEsol-relaxed geometry, with properties calculated at the SCAN level.

The size of the total moment is 0.0 μB/cell. The calculation puts the uncorrected formation energy at -1.30 eV/atom.

The space group is C2/m (No. 12) and the conventional cell measures 23.445, 4.251 and 18.689 Å, with angles of 90.00, 126.03 and 90.00 degrees. The inequivalent atoms are La at (0.007, 0.000, 0.093), La at (0.011, 0.000, 0.372), La at (0.131, 0.500, 0.604), La at (0.158, 0.500, 0.103), B at (0.000, 0.186, 0.500), B at (0.004, 0.500, 0.450), C at (0.037, 0.500, 0.024), I at (0.020, 0.500, 0.239), I at (0.158, 0.000, 0.975), I at (0.161, 0.000, 0.758), I at (0.180, 0.000, 0.249) and I at (0.180, 0.000, 0.519).

***

no.,DFT total energy (eV/atom)
1,-31.58
2,-35.72
3,-54.84
4,-33.06